Record 1
A geometry-optimized CdHgIO2 structure. Source: the Alexandria database, functional PBE.

Structure (POSCAR):
```
CdHgIO2
1.0
4.264 0.000 0.000
0.000 4.264 0.000
0.000 0.000 6.828
O Hg I Cd
2 1 1 1
Cartesian
2.132 0.000 0.000 O
0.000 2.132 0.000 O
0.000 0.000 0.000 Hg
0.000 0.000 3.414 I
2.132 2.132 3.414 Cd
```

Calculated values
E above lowest polymorph in eV/atom: 0.160
E_form (uncorrected) in eV/atom: 0.266
Crystal system: tetragonal
Fermi-level density of states in states/eV/cell: 3.403

Record 2
A geometry-optimized Hg2Pd7Pt2 structure. Source: the Alexandria database, functional PBE.

Structure (POSCAR):
```
Hg2Pd7Pt2
1.0
5.547 -0.002 -0.538
0.003 7.087 0.003
-0.883 -0.002 5.503
Pd Hg Pt
7 2 2
Cartesian
5.107 4.947 2.215 Pd
-0.440 2.136 2.752 Pd
2.776 4.949 -0.266 Pd
1.892 2.133 5.233 Pd
0.000 0.000 0.000 Pd
2.332 2.140 2.484 Pd
2.335 4.942 2.483 Pd
1.104 7.084 3.642 Hg
3.564 -0.001 1.325 Hg
3.839 3.540 4.085 Pt
0.829 3.543 0.882 Pt
```

Calculated values
ΔE_f in meV per atom: 314.5
Crystal system: orthorhombic
Fermi-level density of states in states/eV/cell: 13.675

Record 3
A geometry-optimized SiNi6Ir structure. Source: the Alexandria database, functional PBE.

Structure (POSCAR):
```
SiNi6Ir
1.0
6.173 -0.007 0.000
-2.062 5.819 0.000
0.000 0.000 10.102
Si Ni Ir
4 24 4
Cartesian
0.000 0.000 5.024 Si
4.094 1.464 2.526 Si
0.018 4.348 2.526 Si
0.000 0.000 0.027 Si
2.056 2.906 7.577 Ni
-0.023 4.377 4.981 Ni
4.130 3.676 8.888 Ni
2.092 5.118 6.265 Ni
2.054 0.700 1.301 Ni
4.135 3.642 3.750 Ni
4.135 1.435 4.981 Ni
2.020 0.693 8.888 Ni
-0.018 2.135 8.888 Ni
2.056 2.906 2.526 Ni
-0.023 4.377 0.070 Ni
0.000 0.000 2.526 Ni
4.135 1.435 0.070 Ni
2.054 0.700 3.750 Ni
-0.024 2.170 1.301 Ni
2.058 5.112 3.750 Ni
-0.018 2.135 6.265 Ni
4.130 3.676 6.265 Ni
4.135 3.642 1.301 Ni
-0.024 2.170 3.750 Ni
0.000 0.000 7.577 Ni
2.020 0.693 6.265 Ni
2.092 5.118 8.888 Ni
2.058 5.112 1.301 Ni
2.056 2.906 10.094 Ir
2.056 2.906 5.060 Ir
4.102 1.458 7.577 Ir
0.009 4.354 7.577 Ir
```

Calculated values
E above lowest polymorph in eV/atom: 0.000
E_form (uncorrected) in eV/atom: -0.180
Crystal system: orthorhombic
Fermi-level density of states in states/eV/cell: 49.646

Record 4
A geometry-optimized Ac4CuPb2N2 structure. Source: the Alexandria database, functional PBE.

Structure (POSCAR):
```
Ac4CuPb2N2
1.0
-0.422 -0.338 -4.158
-3.707 -7.780 1.009
-5.655 5.876 2.210
N Pb Ac Cu
2 2 4 1
Cartesian
-3.908 3.617 0.102 N
-5.876 -5.859 -1.041 N
-6.497 0.433 -1.490 Pb
-3.287 -2.675 0.551 Pb
-6.738 -3.498 -1.146 Ac
-3.525 -5.781 -1.286 Ac
-6.259 3.538 0.347 Ac
-3.046 1.256 0.207 Ac
0.000 0.000 0.000 Cu
```

Calculated values
E_form (uncorrected) in eV/atom: -0.649
Crystal system: monoclinic
Fermi-level density of states in states/eV/cell: 1.918

Record 5
A geometry-optimized Y4TePb2 structure. Source: the Alexandria database, functional PBE.

Structure (POSCAR):
```
Y4TePb2
1.0
6.572 0.000 -0.116
0.000 6.593 0.000
-2.456 0.000 9.887
Te Y Pb
2 8 4
Cartesian
3.782 1.648 8.238 Te
0.334 4.945 1.534 Te
1.307 3.300 7.191 Y
2.808 3.294 2.581 Y
2.808 0.003 2.581 Y
1.307 6.591 7.191 Y
6.018 1.648 1.471 Y
-1.902 4.945 8.301 Y
4.478 1.648 5.311 Y
-0.363 4.945 4.461 Y
3.242 4.945 5.292 Pb
0.873 1.648 4.480 Pb
3.812 4.945 0.001 Pb
0.303 1.648 9.771 Pb
```

Calculated values
E_form (uncorrected) in eV/atom: -0.592
Crystal system: monoclinic
Fermi-level density of states in states/eV/cell: 11.202

Record 6
A geometry-optimized Cd4Ag2Hg structure. Source: the Alexandria database, functional PBE.

Structure (POSCAR):
```
Cd4Ag2Hg
1.0
7.328 0.000 -0.254
0.000 5.841 0.000
-3.051 0.000 7.157
Ag Cd Hg
4 8 2
Cartesian
2.889 4.381 4.037 Ag
5.739 4.381 -0.085 Ag
-1.463 1.460 6.988 Ag
1.387 1.460 2.865 Ag
-2.044 4.381 6.030 Cd
3.596 0.019 1.457 Cd
6.321 1.460 0.873 Cd
0.680 2.939 5.445 Cd
5.786 4.381 2.920 Cd
0.680 5.822 5.445 Cd
3.596 2.902 1.457 Cd
-1.510 1.460 3.982 Cd
3.321 1.460 5.113 Hg
0.955 4.381 1.790 Hg
```

Calculated values
ΔE_f in meV per atom: 32.3
E above lowest polymorph in eV/atom: 0.000
Crystal system: monoclinic
Fermi-level density of states in states/eV/cell: 4.714

Record 7
A geometry-optimized Be2PH structure. Source: the Alexandria database, functional PBE.

Structure (POSCAR):
```
Be2PH
1.0
4.699 0.000 -0.003
0.000 3.526 0.000
-0.553 0.000 12.251
H P Be
4 4 8
Cartesian
3.110 0.000 7.315 H
3.386 1.763 1.189 H
1.037 0.000 4.933 H
0.760 1.763 11.059 H
3.386 1.763 4.140 P
3.110 0.000 10.266 P
0.760 1.763 8.108 P
1.036 0.000 1.982 P
2.104 0.000 3.937 Be
-0.029 0.000 3.936 Be
4.175 0.000 8.312 Be
-0.306 1.763 10.061 Be
2.319 1.763 2.186 Be
2.042 0.000 8.311 Be
4.452 1.763 2.187 Be
1.827 1.763 10.062 Be
```

Calculated values
E above lowest polymorph in eV/atom: 0.010
Crystal system: monoclinic
Fermi-level density of states in states/eV/cell: 0.000

Record 8
A geometry-optimized IrRu2Rh8 structure. Source: the Alexandria database, functional PBE.

Structure (POSCAR):
```
IrRu2Rh8
1.0
3.639 0.000 -1.105
-0.922 6.825 -3.035
0.152 -0.995 7.047
Ru Rh Ir
2 8 1
Cartesian
2.818 1.598 2.737 Ru
0.052 4.232 0.170 Ru
-0.682 5.052 -2.247 Rh
2.353 5.004 1.206 Rh
1.624 5.850 -1.197 Rh
1.246 -0.020 4.103 Rh
2.071 2.539 0.276 Rh
0.517 0.826 1.701 Rh
0.799 3.291 2.631 Rh
3.552 0.778 5.154 Rh
1.820 0.000 -0.553 Ir
```

Calculated values
ΔE_f in meV per atom: 179.0
E above lowest polymorph in eV/atom: 0.000
Crystal system: orthorhombic
Fermi-level density of states in states/eV/cell: 14.003

Record 9
A geometry-optimized TlSn3Au6 structure. Source: the Alexandria database, functional PBE.

Structure (POSCAR):
```
TlSn3Au6
1.0
-2.422 -7.559 0.863
0.072 -1.117 -9.583
4.554 -5.597 0.687
Au Sn Tl
12 6 2
Cartesian
-1.343 -5.356 0.381 Au
-0.421 -7.419 -6.510 Au
4.131 -6.458 -8.035 Au
-0.417 -2.465 0.050 Au
2.627 -6.875 -1.693 Au
2.589 -11.304 -3.753 Au
1.051 -4.673 -1.048 Au
3.515 -8.413 -4.083 Au
1.141 -9.410 -5.352 Au
1.069 -2.770 -7.040 Au
1.137 -11.524 -1.162 Au
-1.903 -8.169 -3.023 Au
1.696 -7.769 -8.468 Sn
3.124 -9.604 -1.485 Sn
0.447 -11.668 -8.023 Sn
0.540 -6.988 -3.711 Sn
1.789 -3.090 -4.156 Sn
-0.916 -4.716 -6.943 Sn
-0.662 -8.271 -0.434 Tl
2.852 -5.765 -5.557 Tl
```

Calculated values
ΔE_f in meV per atom: -46.8
Crystal system: orthorhombic
Fermi-level density of states in states/eV/cell: 6.625

Record 10
A geometry-optimized PrLuTlRu structure. Source: the Alexandria database, functional PBE.

Structure (POSCAR):
```
PrLuTlRu
1.0
-1.368 0.522 4.930
-0.207 -4.127 3.062
3.498 -0.621 3.719
Pr Lu Ru Tl
1 1 1 1
Cartesian
0.000 0.000 0.000 Pr
0.962 -2.113 5.856 Lu
1.442 -3.170 8.783 Ru
0.481 -1.057 2.928 Tl
```

Calculated values
ΔE_f in meV per atom: -174.9
Crystal system: cubic
Fermi-level density of states in states/eV/cell: 2.290

Record 11
A geometry-optimized Li2DyBi structure. Source: the Alexandria database, functional PBE.

Structure (POSCAR):
```
Li2DyBi
1.0
4.992 0.000 0.000
2.496 4.323 0.000
2.496 1.441 4.070
Dy Li Bi
1 2 1
Cartesian
0.000 0.000 0.000 Dy
7.488 4.323 3.054 Li
2.496 1.441 1.015 Li
4.992 2.882 2.035 Bi
```

Calculated values
ΔE_f in meV per atom: -243.5
E above lowest polymorph in eV/atom: 0.188
Crystal system: cubic
Fermi-level density of states in states/eV/cell: 3.134

Record 12
A geometry-optimized ZnReP2O structure. Source: the Alexandria database, functional PBE.

Structure (POSCAR):
```
ZnReP2O
1.0
-0.076 0.182 -4.723
-2.342 -4.104 -0.121
-3.010 1.714 0.115
O Re Zn P
1 1 1 2
Cartesian
-1.505 0.857 0.057 O
-2.714 -1.104 -2.364 Re
0.000 0.000 0.000 Zn
-0.038 0.091 -2.361 P
-1.171 -2.052 -0.060 P
```

Calculated values
E above lowest polymorph in eV/atom: 1.086
E_form (uncorrected) in eV/atom: 1.039
Crystal system: tetragonal
Fermi-level density of states in states/eV/cell: 4.267